Hf2MgI2 | PBE | optimized geometry

Values from the calculation:
Energy relative to the elements, uncorrected (eV per atom): 0.44
ΔE to the lowest computed polymorph (eV per atom): 0.0472

Lattice parameters (Å, degrees): 5.0307 5.0307 6.9179 68.68 68.68 90.00
Closest atoms and distances in Å follow each position.
Element x y z (fractional)
I  0.7500  0.2500  0.5000  4 Hf 2.97
I  0.2500  0.7500  0.5000  4 Hf 2.97
Mg  0.0000  0.0000  0.0000  8 Hf 3.82, 8 I 3.89
Hf  0.3829  0.3829  0.2341  1 Hf 2.78, 4 I 2.97
Hf  0.6171  0.6171  0.7659  1 Hf 2.78, 4 I 2.97

---

Ru2Pt7Rh2 | PBE | optimized geometry

Values from the calculation:
ΔE_f (meV per atom): 234.3
ΔE to the lowest computed polymorph (eV per atom): 0.1000

Lattice parameters (Å, degrees): 4.8719 6.1548 6.1548 80.31 99.12 99.12
Closest atoms and distances in Å follow each position.
Element x y z (fractional)
Ru  0.0000  0.1706  0.8294  1 Ru 2.71, 2 Rh 2.71, 8 Pt 2.73-2.89
Ru  0.0000  0.8294  0.1706  1 Ru 2.71, 2 Rh 2.71, 8 Pt 2.73-2.89
Pt  0.7530  0.0623  0.4086  3 Rh 2.61-2.82, 5 Pt 2.66-2.81, 2 Ru 2.73-2.82
Pt  0.2470  0.5914  0.9377  3 Rh 2.61-2.82, 5 Pt 2.66-2.81, 2 Ru 2.73-2.82
Pt  0.2470  0.9377  0.5914  3 Rh 2.61-2.82, 5 Pt 2.66-2.81, 2 Ru 2.73-2.82
Pt  0.7530  0.4086  0.0623  3 Rh 2.61-2.82, 5 Pt 2.66-2.81, 2 Ru 2.73-2.82
Pt  0.5000  0.0000  0.0000  4 Pt 2.68, 2 Rh 2.75, 4 Ru 2.79
Pt  0.2601  0.5225  0.5225  4 Pt 2.46-2.67, 1 Rh 2.66
Pt  0.7399  0.4775  0.4775  4 Pt 2.46-2.67, 1 Rh 2.66
Rh  0.2594  0.2398  0.2398  9 Pt 2.61-2.88, 2 Ru 2.71
Rh  0.7406  0.7602  0.7602  9 Pt 2.61-2.88, 2 Ru 2.71

---

AlVZn4 | PBE | optimized geometry

Values from the calculation:
ΔE_f (meV per atom): 109.8

Lattice parameters (Å, degrees): 5.0360 5.0360 5.0360 60.00 60.00 60.00
Closest atoms and distances in Å follow each position.
Element x y z (fractional)
Zn  0.6243  0.6243  0.1270  6 Zn 2.50-2.53
Zn  0.6243  0.1270  0.6243  6 Zn 2.50-2.53
Zn  0.6243  0.6243  0.6243  6 Zn 2.50-2.53
Zn  0.1270  0.6243  0.6243  6 Zn 2.50-2.53
Al  0.0000  0.0000  0.0000  12 Zn 2.95, 4 V 3.08
V  0.2500  0.2500  0.2500  12 Zn 2.95, 4 Al 3.08

---

ReAgSN2 | PBE | optimized geometry

Values from the calculation:
Energy relative to the elements, uncorrected (eV per atom): 2.63
ΔE to the lowest computed polymorph (eV per atom): 2.1805

Lattice parameters (Å, degrees): 3.9180 3.9180 4.7938 90.00 90.00 90.00
Closest atoms and distances in Å follow each position.
Element x y z (fractional)
Re  0.5000  0.5000  0.5000  4 S 2.77, 8 N 3.10
S  0.0000  0.0000  0.5000  2 Ag 2.40
Ag  0.0000  0.0000  0.0000  4 N 1.96
N  0.0000  0.5000  0.0000  2 Ag 1.96
N  0.5000  0.0000  0.0000  2 Ag 1.96

---

Ni2PtRh | PBE | optimized geometry

Values from the calculation:
ΔE_f (meV per atom): -13.8

Lattice parameters (Å, degrees): 4.6191 4.6191 4.5063 79.21 79.21 33.95
Closest atoms and distances in Å follow each position.
Element x y z (fractional)
Ni  0.0032  0.0032  0.0030  4 Pt 2.60-2.65, 5 Ni 2.60-2.73, 3 Rh 2.62
Ni  0.7459  0.7459  0.7504  4 Rh 2.57-2.68, 5 Ni 2.60-2.73, 3 Pt 2.63-2.64
Rh  0.2539  0.2539  0.2338  7 Ni 2.57-2.68, 3 Pt 2.69-2.73, 2 Rh 2.70
Pt  0.4970  0.4970  0.5127  7 Ni 2.60-2.65, 3 Rh 2.69-2.73, 2 Pt 2.70

---

HoPaTlPb | PBE | optimized geometry

Values from the calculation:
ΔE_f (meV per atom): 10.8

Lattice parameters (Å, degrees): 5.3894 5.3894 5.3894 60.00 60.00 60.00
Closest atoms and distances in Å follow each position.
Element x y z (fractional)
Pb  0.7500  0.7500  0.7500  4 Pa 3.30, 4 Ho 3.30
Tl  0.2500  0.2500  0.2500  4 Pa 3.30, 4 Ho 3.30
Pa  0.5000  0.5000  0.5000  4 Tl 3.30, 4 Pb 3.30
Ho  0.0000  0.0000  0.0000  4 Tl 3.30, 4 Pb 3.30

---

Asked for total DFT energy (no corrections) across the records above, the calculation gives -4.478; -6.633; -2.883; -4.590; -6.253; -5.026 eV/atom in order.
Asked for magnetization across the records above, the calculation gives 0.00; 0.00; 3.18; 0.77; 2.70; 1.94 Bohr magnetons per cell in order.